This record from Alexandria via LeMat-Bulk describes a relaxed structure of PuTh2Ru3. The functional is PBE-GGA.

Computed properties:
- space-group type = No. 15
- energy relative to the elements (eV per atom) = -0.26

a = 5.566 Å, b = 8.359 Å, c = 6.727 Å
α = 110.18°, β = 114.44°, γ = 90.00°
Site moments in Bohr magnetons follow the coordinates.
Fractional coordinates of all 12 atoms:
Pu: 0.857 0.750 0.000  4.61
Pu: 0.143 0.250 0.000  4.61
Th: 0.704 0.584 0.357  0.05
Th: 0.653 0.084 0.357  0.05
Th: 0.347 0.916 0.643  0.05
Th: 0.296 0.416 0.643  0.05
Ru: 0.640 0.250 0.000  -0.33
Ru: 0.360 0.750 0.000  -0.33
Ru: 0.090 0.076 0.257  -0.23
Ru: 0.833 0.424 0.743  -0.23
Ru: 0.167 0.576 0.257  -0.23
Ru: 0.910 0.924 0.743  -0.23